1.
Below is Ni2HIrPt after structural relaxation, with properties calculated at the PBE level.

For the density of states at the Fermi level, the calculation gives 1.28 states/eV per atom. The relative energy among the computed polymorphs is 0.00 eV/f.u. As for the total energy: -5.9204 eV per atom.

The structure belongs to space group P4/mmm (No. 123); the cell edges are 3.857, 3.857 and 3.699 Å and the angles 90.00°, 90.00° and 90.00°. The asymmetric unit holds Ni at (0.000, 0.500, 0.000), H at (0.000, 0.000, 0.000), Ir at (0.000, 0.000, 0.500) and Pt at (0.500, 0.500, 0.500).

---

2.
Below is Ni2HIrPt after structural relaxation, with properties calculated at the PBE level.

For the density of states at the Fermi level, the calculation gives 1.33 states/eV per atom. The relative energy among the computed polymorphs is 0.33 eV/f.u. As for the total energy: -5.8540 eV per atom.

The structure belongs to space group P4/mmm (No. 123); the cell edges are 3.840, 3.840 and 3.728 Å and the angles 90.00°, 90.00° and 90.00°. The asymmetric unit holds Ni at (0.000, 0.500, 0.000), H at (0.000, 0.000, 0.000), Ir at (0.500, 0.500, 0.500) and Pt at (0.000, 0.000, 0.500).

---

3.
Below is NiHIrPt2 after structural relaxation, with properties calculated at the PBE level.

For the density of states at the Fermi level, the calculation gives 1.19 states/eV per atom. As for the total energy: -5.8573 eV per atom.

The structure belongs to space group P4/mmm (No. 123); the cell edges are 3.911, 3.911 and 3.885 Å and the angles 90.00°, 90.00° and 90.00°. The asymmetric unit holds Ni at (0.000, 0.000, 0.000), H at (0.000, 0.000, 0.500), Ir at (0.500, 0.500, 0.000) and Pt at (0.000, 0.500, 0.500).

---

4.
Below is NiHIr2Pt after structural relaxation, with properties calculated at the PBE level.

For the density of states at the Fermi level, the calculation gives 1.23 states/eV per atom. As for the total energy: -6.4468 eV per atom.

The structure belongs to space group P4/mmm (No. 123); the cell edges are 3.902, 3.902 and 3.864 Å and the angles 90.00°, 90.00° and 90.00°. The asymmetric unit holds Ni at (0.000, 0.000, 0.000), H at (0.000, 0.000, 0.500), Ir at (0.000, 0.500, 0.500) and Pt at (0.500, 0.500, 0.000).

---

5.
Below is Re2NiHIr after structural relaxation, with properties calculated at the PBE level.

For the density of states at the Fermi level, the calculation gives 1.02 states/eV per atom. As for the total energy: -8.4106 eV per atom.

The structure belongs to space group P4/mmm (No. 123); the cell edges are 3.851, 3.851 and 3.874 Å and the angles 90.00°, 90.00° and 90.00°. The asymmetric unit holds Re at (0.000, 0.500, 0.000), Ni at (0.000, 0.000, 0.500), H at (0.000, 0.000, 0.000) and Ir at (0.500, 0.500, 0.500).

---

6.
Below is NiHIr2Rh after structural relaxation, with properties calculated at the PBE level.

For the density of states at the Fermi level, the calculation gives 1.04 states/eV per atom. The relative energy among the computed polymorphs is 0.08 eV/f.u. As for the total energy: -6.6732 eV per atom.

The structure belongs to space group P4/mmm (No. 123); the cell edges are 3.870, 3.870 and 3.880 Å and the angles 90.00°, 90.00° and 90.00°. The asymmetric unit holds Ni at (0.000, 0.000, 0.000), H at (0.500, 0.500, 0.500), Ir at (0.000, 0.500, 0.500) and Rh at (0.500, 0.500, 0.000).

---

7.
Below is NiHIrRh2 after structural relaxation, with properties calculated at the PBE level.

For the density of states at the Fermi level, the calculation gives 1.35 states/eV per atom. The relative energy among the computed polymorphs is 0.00 eV/f.u. As for the total energy: -6.4517 eV per atom.

The structure belongs to space group P4/mmm (No. 123); the cell edges are 3.856, 3.856 and 3.829 Å and the angles 90.00°, 90.00° and 90.00°. The asymmetric unit holds Ni at (0.000, 0.000, 0.000), H at (0.000, 0.000, 0.500), Ir at (0.500, 0.500, 0.000) and Rh at (0.000, 0.500, 0.500).

---

8.
Below is NiHIrRh2 after structural relaxation, with properties calculated at the PBE level.

For the density of states at the Fermi level, the calculation gives 1.02 states/eV per atom. The relative energy among the computed polymorphs is 0.12 eV/f.u. As for the total energy: -6.4282 eV per atom.

The structure belongs to space group P4/mmm (No. 123); the cell edges are 3.864, 3.864 and 3.864 Å and the angles 90.00°, 90.00° and 90.00°. The asymmetric unit holds Ni at (0.000, 0.000, 0.000), H at (0.500, 0.500, 0.500), Ir at (0.500, 0.500, 0.000) and Rh at (0.000, 0.500, 0.500).